The following is a DFT calculation (PBE-GGA) of BaSr2Br after structural relaxation.

Cell: 4.0670 4.0670 11.1974 Å, 90.00 90.00 90.00°
Closest atoms and distances in Å follow each position.
Fractional positions:
Sr1 0.0000 0.0000 0.9579  4 Br 3.64, 4 Sr 4.07
Sr2 0.5000 0.5000 0.2413  8 Sr 4.07-4.28, 4 Ba 4.43
Ba1 0.0000 0.0000 0.5420  4 Br 3.76, 4 Ba 4.07
Br1 0.5000 0.5000 0.7588  4 Sr 3.64, 4 Ba 3.76, 4 Br 4.07

Calculated values
energy relative to the elements, uncorrected	-0.656	eV/atom

***

The following is a DFT calculation (PBE-GGA) of Te3PtW after structural relaxation.

Cell: 5.2106 5.2106 5.2106 Å, 90.00 90.00 90.00°
Closest atoms and distances in Å follow each position.
Fractional positions:
Te1 0.0000 0.5000 0.0000  2 W 2.61
Te2 0.0000 0.0000 0.5000  2 W 2.61
Te3 0.5000 0.0000 0.0000  2 W 2.61
W1 0.0000 0.0000 0.0000  6 Te 2.61
Pt1 0.5000 0.5000 0.5000  12 Te 3.68

Calculated values
energy relative to the elements, uncorrected	1.038	eV/atom

***

The following is a DFT calculation (PBE-GGA) of CePrHo2 after structural relaxation.

Cell: 3.4332 6.4758 11.6547 Å, 86.12 98.47 90.00°
Closest atoms and distances in Å follow each position.
Fractional positions:
Ce1 0.4992 0.2092 0.9984  1 Ce 2.71
Ce2 0.5008 0.7908 0.0016  1 Ce 2.71
Pr1 0.2500 0.2560 0.4999  6 Pr 3.43-3.73, 6 Ho 3.53-3.64
Pr2 0.7500 0.7440 0.5001  6 Pr 3.43-3.73, 6 Ho 3.53-3.64
Ho1 0.1212 0.9675 0.2424  6 Ho 3.43-3.67, 4 Ce 3.52-3.56, 3 Pr 3.61-3.64
Ho2 0.3767 0.5323 0.7534  2 Ce 3.40-3.41, 6 Ho 3.43-3.67, 3 Pr 3.53-3.58
Ho3 0.6233 0.4677 0.2466  2 Ce 3.40-3.41, 6 Ho 3.43-3.67, 3 Pr 3.53-3.58
Ho4 0.8788 0.0325 0.7576  6 Ho 3.43-3.67, 4 Ce 3.52-3.56, 3 Pr 3.61-3.64

Calculated values
DFT formation energy	0.11	eV/atom

***

Listing energy above the lowest structure with this stoichiometry for the structures above in their given order: 31; 0; 22 kJ/mol of formula units.